No. 1
Computed, not measured: a relaxed Tc2AsBr crystal at the PBE-GGA level of DFT.

abc: 6.273 6.273 6.273
angles: 90.00 90.00 90.00
Space group Fm-3m (No. 225)
Inequivalent atoms, fractional coordinates:
Tc 0.250 0.250 0.250 x8
As 0.000 0.000 0.000 x4
Br 0.000 0.000 0.500 x4

Excess energy over the best structure of this formula in the dataset in meV/atom: 438.3
Crystal system: cubic
Total energy in eV per cell: -99.29
DOS at the Fermi energy in states/eV/f.u.: 4.1
Formation energy without anion corrections in eV/f.u.: 2.23

---

No. 2
Computed, not measured: a relaxed Sm2DyPuAs4 crystal at the PBE-GGA level of DFT.

abc: 7.212 4.177 7.217
angles: 90.00 109.46 90.00
Space group P2/m (No. 10)
Inequivalent atoms, fractional coordinates:
Sm 0.000 0.000 0.000 x1
Sm 0.500 0.500 0.000 x1
Dy 0.000 0.500 0.500 x1
Pu 0.500 0.000 0.500 x1
As 0.249 0.000 0.743 x2
As 0.253 0.500 0.258 x2

Crystal system: monoclinic
Total energy in eV per cell: -58.11
DOS at the Fermi energy in states/eV/f.u.: 13.4
Energy of formation in meV/atom: -1393

---

No. 3
Computed, not measured: a relaxed Rb2AgC2 crystal at the PBE-GGA level of DFT.

abc: 9.342 9.342 3.947
angles: 90.00 90.00 90.00
Space group P4/mbm (No. 127)
Inequivalent atoms, fractional coordinates:
Rb 0.173 0.327 0.000 x4
Ag 0.000 0.000 0.000 x2
C 0.048 0.548 0.500 x4

Excess energy over the best structure of this formula in the dataset in meV/atom: 122.3
Crystal system: tetragonal
Total energy in eV per cell: -38.60
DOS at the Fermi energy in states/eV/f.u.: 3.6
Energy of formation in meV/atom: 787

---

No. 4
Computed, not measured: a relaxed Pu2BeZnPd6 crystal at the PBE-GGA level of DFT.

abc: 5.777 5.783 7.190
angles: 66.59 66.48 60.11
Space group P-1 (No. 2)
Inequivalent atoms, fractional coordinates:
Pu 0.219 0.221 0.345 x2
Be 0.000 0.000 0.000 x1
Zn 0.500 0.500 0.500 x1
Pd 0.237 0.716 0.806 x2
Pd 0.238 0.235 0.798 x2
Pd 0.279 0.766 0.197 x2

Crystal system: triclinic
Total energy in eV per cell: -68.77
DOS at the Fermi energy in states/eV/f.u.: 32.0
Energy of formation in meV/atom: -395

---

No. 5
Computed, not measured: a relaxed MgOs3 crystal at the PBE-GGA level of DFT.

abc: 4.487 4.487 2.924
angles: 90.00 90.00 90.00
Space group P4/mmm (No. 123)
Inequivalent atoms, fractional coordinates:
Mg 0.000 0.000 0.000 x1
Os 0.000 0.500 0.500 x2
Os 0.500 0.500 0.000 x1

Crystal system: tetragonal
Total energy in eV per cell: -33.53
DOS at the Fermi energy in states/eV/f.u.: 4.3
Energy of formation in meV/atom: 437

---

No. 6
Computed, not measured: a relaxed NaTl3Hg8 crystal at the PBE-GGA level of DFT.

abc: 6.2490 6.2490 9.9328
angles: 90.00 90.00 120.00
Space group P3m1 (No. 156)
Inequivalent atoms, fractional coordinates:
Na 0.0000 0.0000 0.0000 x1
Tl 0.0000 0.0000 0.3700 x1
Tl 0.6667 0.3333 0.5056 x1
Tl 0.6667 0.3333 0.8751 x1
Hg 0.1606 0.3212 0.6920 x3
Hg 0.3333 0.6667 0.4397 x1
Hg 0.3333 0.6667 0.9391 x1
Hg 0.5051 0.0103 0.1873 x3

Excess energy over the best structure of this formula in the dataset in meV/atom: 33.3
Crystal system: trigonal
Total energy in eV per cell: -11.24
DOS at the Fermi energy in states/eV/f.u.: 4.2
Energy of formation in meV/atom: -34

---

No. 7
Computed, not measured: a relaxed BeV3B crystal at the PBE-GGA level of DFT.

abc: 4.050 12.411 4.769
angles: 90.00 90.00 90.00
Space group Cmcm (No. 63)
Inequivalent atoms, fractional coordinates:
Be 0.000 0.008 0.250 x4
V 0.000 0.166 0.510 x8
V 0.000 0.482 0.250 x4
B 0.000 0.311 0.250 x4

Excess energy over the best structure of this formula in the dataset in meV/atom: 155.5
Crystal system: orthorhombic
Total energy in eV per cell: -145.02
DOS at the Fermi energy in states/eV/f.u.: 3.8
Energy of formation in meV/atom: 301

---

No. 8
Computed, not measured: a relaxed YMoN3 crystal at the PBE-GGA level of DFT.

abc: 4.183 4.183 4.183
angles: 90.00 90.00 90.00
Space group Pm-3m (No. 221)
Inequivalent atoms, fractional coordinates:
Y 0.000 0.000 0.000 x1
Mo 0.500 0.500 0.500 x1
N 0.000 0.000 0.500 x3

Crystal system: cubic
Total energy in eV per cell: -33.15
DOS at the Fermi energy in states/eV/f.u.: 9.9
Formation energy without anion corrections in eV/f.u.: 9.12

---

No. 9
Computed, not measured: a relaxed Pr2HoTm3Te6 crystal at the PBE-GGA level of DFT.

abc: 19.319 4.318 8.901
angles: 90.00 105.37 90.00
Space group C2/m (No. 12)
Inequivalent atoms, fractional coordinates:
Pr 0.170 0.000 0.339 x4
Ho 0.000 0.500 0.000 x2
Tm 0.000 0.500 0.500 x2
Tm 0.173 0.000 0.838 x4
Te 0.005 0.000 0.751 x4
Te 0.160 0.500 0.596 x4
Te 0.164 0.500 0.071 x4

Crystal system: monoclinic
Total energy in eV per cell: -123.47
DOS at the Fermi energy in states/eV/f.u.: 6.1
Formation energy without anion corrections in eV/f.u.: -15.33